Rb2AgP2O6 after structural relaxation, computed with PBE-GGA.

a b c (Å): 6.8466 6.8466 6.8466
angles (deg): 51.90 51.90 51.90
Closest atoms and distances in Å follow each position.
Positions (direct):
Rb: 0.2226 0.2226 0.2226  9 O 3.04-3.15
Rb: 0.7774 0.7774 0.7774  9 O 3.04-3.15
Ag: 0.0000 0.0000 0.0000  6 O 2.45
P: 0.4337 0.4337 0.4337  3 O 1.53
P: 0.5663 0.5663 0.5663  3 O 1.53
O: 0.2716 0.2716 0.7060  1 P 1.53
O: 0.2716 0.7060 0.2716  1 P 1.53
O: 0.2940 0.7284 0.7284  1 P 1.53
O: 0.7060 0.2716 0.2716  1 P 1.53
O: 0.7284 0.2940 0.7284  1 P 1.53
O: 0.7284 0.7284 0.2940  1 P 1.53

Output
total moment: 0.000 μB/cell
formation energy (no corrections): -1.766 eV/atom
space group: No. 166